[1]
Entry from the Alexandria database: LiNd2Ru at its PBEsol-relaxed geometry (meta-GGA SCAN).

Output
For the total energy, the calculation gives -31.29 eV/atom. Its crystal system is cubic. As for the space group: Fm-3m, No. 225. The density of states at the Fermi level comes out at 2.06 states/eV/f.u. As for the density: 7.49 g/cm³.

Geometry as extended XYZ:
```
4
Lattice="0.000 3.529 3.529 3.529 0.000 3.529 3.529 3.529 0.000" Properties=species:S:1:pos:R:3 pbc="T T T"
Li 0.000 0.000 0.000
Nd 1.764 1.764 1.764
Nd 5.293 5.293 5.293
Ru 3.529 3.529 3.529
```

[2]
Entry from the Alexandria database: RbHf3Cu at its PBEsol-relaxed geometry (meta-GGA SCAN).

Output
Its energy above the most stable polymorph in this dataset is 8.05 eV/f.u. For the total energy, the calculation gives -42.15 eV/atom. Its crystal system is cubic. As for the space group: Pm-3m, No. 221. The density of states at the Fermi level comes out at 6.32 states/eV/f.u. As for the density: 9.70 g/cm³.

Geometry as extended XYZ:
```
5
Lattice="4.893 0.000 0.000 0.000 4.893 0.000 0.000 0.000 4.893" Properties=species:S:1:pos:R:3 pbc="T T T"
Rb 0.000 0.000 0.000
Hf 0.000 0.000 2.447
Hf 0.000 2.447 0.000
Hf 2.447 0.000 0.000
Cu 2.447 2.447 2.447
```

[3]
Entry from the Alexandria database: SrMgTa2 at its PBEsol-relaxed geometry (meta-GGA SCAN).

Output
For the total energy, the calculation gives -39.16 eV/atom. Its crystal system is orthorhombic. As for the space group: Cmmm, No. 65. The density of states at the Fermi level comes out at 4.20 states/eV/f.u. As for the density: 9.11 g/cm³.

Geometry as extended XYZ:
```
4
Lattice="2.954 -5.189 0.000 2.954 5.189 0.000 0.000 0.000 2.816" Properties=species:S:1:pos:R:3 pbc="T T T"
Sr 0.000 0.000 0.000
Mg 2.954 0.000 0.000
Ta 1.477 2.594 1.408
Ta 1.477 -2.594 1.408
```

[4]
Entry from the Alexandria database: MgZnCo2 at its PBEsol-relaxed geometry (meta-GGA SCAN).

Output
For the total energy, the calculation gives -13.20 eV/atom. Its crystal system is orthorhombic. As for the space group: Imm2, No. 44. The density of states at the Fermi level comes out at 2.18 states/eV/f.u. As for the density: 6.82 g/cm³.

Geometry as extended XYZ:
```
4
Lattice="-1.387 2.121 4.294 1.387 -2.121 4.294 1.387 2.121 -4.294" Properties=species:S:1:pos:R:3 pbc="T T T"
Mg 0.000 0.000 0.000
Zn 0.000 2.121 1.920
Co 1.387 0.000 2.255
Co 0.000 0.000 4.129
```